1.
{
  "formula": "FeBP2Au",
  "functional": "GGA-PBE",
  "state": "relaxed",
  "cell": [[-0.5057, -2.4770, -1.8919], [2.5957, 1.7607, -0.3640], [3.9382, -4.7404, 5.1537]],
  "species": ["Au", "P", "P", "B", "Fe"],
  "frac_coords": [[0.6667, 0.3333, 0.5536], [0.0000, 0.0000, 0.7950], [0.6667, 0.3333, 0.2399], [0.3333, 0.6667, 0.1641], [0.6667, 0.3333, 0.9465]],
  "formation_energy_ev_per_atom": -0.009,
  "vol_a3_per_fu": 69,
  "dos_ef_per_ev_atom": 0.31
}

***

2.
{
  "formula": "FeBP2Au",
  "functional": "GGA-PBE",
  "state": "relaxed",
  "cell": [[-3.4994, -8.0352, -0.5107], [1.0456, -0.6404, 2.9106], [-4.1598, 2.8373, 2.1186]],
  "species": ["Fe", "Fe", "P", "P", "P", "P", "B", "B", "Au", "Au"],
  "frac_coords": [[0.7500, 0.0000, 0.5975], [0.7500, 0.5000, 0.0975], [0.4872, 0.5000, 0.0064], [0.8866, 0.0000, 0.9749], [0.8866, 0.5000, 0.4749], [0.4872, 0.0000, 0.5064], [0.4315, 0.5000, 0.6553], [0.4315, 0.0000, 0.1553], [0.1668, 0.0000, 0.0644], [0.1668, 0.5000, 0.5644]],
  "formation_energy_ev_per_atom": -0.017,
  "vol_a3_per_fu": 74,
  "dos_ef_per_ev_atom": 0.57
}

***

3.
{
  "formula": "FeBP2Au",
  "functional": "GGA-PBE",
  "state": "relaxed",
  "cell": [[8.2516, 0.0000, -0.2063], [0.0000, 3.2255, 0.0000], [-1.2557, 0.0000, 5.4729]],
  "species": ["B", "B", "Au", "Au", "P", "P", "P", "P", "Fe", "Fe"],
  "frac_coords": [[0.2655, 0.5000, 0.8439], [0.2655, 0.0000, 0.3439], [0.5447, 0.0000, 0.4364], [0.5447, 0.5000, 0.9364], [0.7842, 0.0000, 0.1791], [0.7842, 0.5000, 0.6791], [0.1955, 0.5000, 0.1516], [0.1955, 0.0000, 0.6516], [0.9092, 0.0000, 0.5560], [0.9092, 0.5000, 0.0560]],
  "formation_energy_ev_per_atom": 0.018,
  "vol_a3_per_fu": 72,
  "dos_ef_per_ev_atom": 0.45
}

***

4.
{
  "formula": "FeBP2Au",
  "functional": "GGA-PBE",
  "state": "relaxed",
  "cell": [[-2.2114, 2.3007, -0.4983], [-1.5061, -0.9777, 2.1696], [9.6343, 6.8467, 9.7731]],
  "species": ["B", "B", "Au", "Au", "P", "P", "P", "P", "Fe", "Fe"],
  "frac_coords": [[0.2158, 0.0000, 0.2375], [0.2158, 0.5000, 0.7375], [0.1047, 0.5000, 0.1263], [0.1047, 0.0000, 0.6263], [0.4648, 0.5000, 0.9869], [0.7866, 0.5000, 0.8084], [0.4648, 0.0000, 0.4869], [0.7866, 0.0000, 0.3084], [0.9051, 0.0000, 0.9271], [0.9051, 0.5000, 0.4271]],
  "formation_energy_ev_per_atom": -0.026,
  "vol_a3_per_fu": 68,
  "dos_ef_per_ev_atom": 0.40
}

***

Polymorph energy (0 for the lowest one)
In order: 104 96 131 88
Unit: meV per atom